No. 1
First-principles (PBE) data for an optimized crystal structure of BaHg2S2Br, as listed in Alexandria via LeMat-Bulk.

The structure in POSCAR format:
```
BaHg2S2Br
1.0
8.146 0.000 0.000
0.000 5.842 0.000
-3.368 0.000 7.619
Ba Hg S Br
2 4 4 2
direct
0.170 0.250 0.326
0.830 0.750 0.674
0.395 0.508 0.814
0.395 0.992 0.814
0.605 0.008 0.186
0.605 0.492 0.186
0.160 0.750 0.568
0.455 0.750 0.337
0.545 0.250 0.663
0.840 0.250 0.432
0.098 0.250 0.903
0.902 0.750 0.097
```

space-group type: P2_1/m
formation energy (no corrections): -720 meV/atom
magnetization: 0.00 Bohr magnetons per cell

No. 2
First-principles (PBE) data for an optimized crystal structure of BaHgSb2Br, as listed in Alexandria via LeMat-Bulk.

The structure in POSCAR format:
```
BaHgSb2Br
1.0
5.469 0.000 0.000
0.000 5.469 0.000
0.000 0.000 6.423
Ba Hg Sb Br
1 1 2 1
direct
0.000 0.000 0.000
0.500 0.500 0.500
0.000 0.500 0.500
0.500 0.000 0.500
0.500 0.500 0.000
```

space-group type: P4/mmm
formation energy (no corrections): -301 meV/atom
magnetization: 0.00 Bohr magnetons per cell

No. 3
First-principles (PBE) data for an optimized crystal structure of BaSc2HgBr, as listed in Alexandria via LeMat-Bulk.

The structure in POSCAR format:
```
BaSc2HgBr
1.0
5.160 0.000 0.000
0.000 5.160 0.000
0.000 0.000 6.485
Ba Sc Hg Br
1 2 1 1
direct
0.000 0.000 0.000
0.000 0.500 0.500
0.500 0.000 0.500
0.500 0.500 0.000
0.500 0.500 0.500
```

space-group type: P4/mmm
formation energy (no corrections): -38 meV/atom
magnetization: 2.11 Bohr magnetons per cell

No. 4
First-principles (PBE) data for an optimized crystal structure of BaHg2Se2Br, as listed in Alexandria via LeMat-Bulk.

The structure in POSCAR format:
```
BaHg2Se2Br
1.0
8.330 0.000 0.000
0.000 5.934 0.000
-3.333 0.000 7.740
Ba Hg Se Br
2 4 4 2
direct
0.188 0.250 0.338
0.812 0.750 0.662
0.317 0.006 0.902
0.317 0.494 0.902
0.683 0.506 0.098
0.683 0.994 0.098
0.059 0.250 0.663
0.149 0.750 0.057
0.851 0.250 0.943
0.941 0.750 0.337
0.399 0.750 0.597
0.601 0.250 0.403
```

space-group type: P2_1/m
formation energy (no corrections): -763 meV/atom
magnetization: 0.00 Bohr magnetons per cell

No. 5
First-principles (PBE) data for an optimized crystal structure of BaSn2HgBr8, as listed in Alexandria via LeMat-Bulk.

The structure in POSCAR format:
```
BaSn2HgBr8
1.0
7.038 0.000 0.000
-0.013 7.354 0.000
-0.211 -0.466 9.180
Ba Sn Hg Br
1 2 1 8
direct
0.000 0.000 0.000
0.495 0.476 0.263
0.505 0.524 0.737
0.000 0.000 0.500
0.193 0.159 0.707
0.257 0.648 0.524
0.263 0.641 0.973
0.291 0.149 0.258
0.709 0.851 0.742
0.737 0.359 0.027
0.743 0.352 0.476
0.807 0.841 0.293
```

space-group type: P-1
formation energy (no corrections): -1004 meV/atom
magnetization: 0.00 Bohr magnetons per cell

No. 6
First-principles (PBE) data for an optimized crystal structure of BaSn2HgBr, as listed in Alexandria via LeMat-Bulk.

The structure in POSCAR format:
```
BaSn2HgBr
1.0
5.432 0.000 0.000
0.000 5.432 0.000
0.000 0.000 6.685
Ba Sn Hg Br
1 2 1 1
direct
0.000 0.000 0.000
0.000 0.500 0.500
0.500 0.000 0.500
0.500 0.500 0.500
0.500 0.500 0.000
```

space-group type: P4/mmm
formation energy (no corrections): -194 meV/atom
magnetization: 0.00 Bohr magnetons per cell

No. 7
First-principles (PBE) data for an optimized crystal structure of BaSr2HgBr8, as listed in Alexandria via LeMat-Bulk.

The structure in POSCAR format:
```
BaSr2HgBr8
1.0
6.993 0.000 0.000
0.000 9.295 0.000
-0.123 0.000 7.176
Ba Sr Hg Br
1 2 1 8
direct
0.000 0.000 0.000
0.500 0.262 0.500
0.500 0.738 0.500
0.000 0.500 0.000
0.238 0.279 0.148
0.238 0.721 0.148
0.249 0.500 0.660
0.272 0.000 0.640
0.728 0.000 0.360
0.751 0.500 0.340
0.762 0.279 0.852
0.762 0.721 0.852
```

space-group type: P2/m
formation energy (no corrections): -1665 meV/atom
magnetization: 0.00 Bohr magnetons per cell

No. 8
First-principles (PBE) data for an optimized crystal structure of Ba4HgTeBr2, as listed in Alexandria via LeMat-Bulk.

The structure in POSCAR format:
```
Ba4HgTeBr2
1.0
8.479 0.000 0.000
0.000 4.828 0.000
-2.808 0.000 8.251
Ba Hg Te Br
4 1 1 2
direct
0.239 0.000 0.240
0.243 0.500 0.753
0.757 0.500 0.247
0.761 0.000 0.760
0.000 0.500 0.000
0.000 0.000 0.500
0.500 0.000 0.000
0.500 0.500 0.500
```

space-group type: P2/m
formation energy (no corrections): -1343 meV/atom
magnetization: 1.13 Bohr magnetons per cell

No. 9
First-principles (PBE) data for an optimized crystal structure of BaTlHgBr, as listed in Alexandria via LeMat-Bulk.

The structure in POSCAR format:
```
BaTlHgBr
1.0
8.081 0.000 0.000
0.000 8.081 0.000
0.000 0.000 8.081
Ba Tl Hg Br
4 4 4 4
direct
0.000 0.000 0.000
0.000 0.500 0.500
0.500 0.000 0.500
0.500 0.500 0.000
0.000 0.000 0.500
0.000 0.500 0.000
0.500 0.000 0.000
0.500 0.500 0.500
0.250 0.250 0.750
0.250 0.750 0.250
0.750 0.250 0.250
0.750 0.750 0.750
0.250 0.250 0.250
0.250 0.750 0.750
0.750 0.250 0.750
0.750 0.750 0.250
```

space-group type: F-43m
formation energy (no corrections): -718 meV/atom
magnetization: 0.00 Bohr magnetons per cell

No. 10
First-principles (PBE) data for an optimized crystal structure of BaTl2HgBr6, as listed in Alexandria via LeMat-Bulk.

The structure in POSCAR format:
```
BaTl2HgBr6
1.0
8.137 0.000 0.000
-4.068 7.067 0.000
-4.060 -2.365 6.898
Ba Tl Hg Br
1 2 1 6
direct
0.000 0.000 0.000
0.575 0.288 0.862
0.577 0.789 0.364
0.998 0.499 0.496
0.072 0.238 0.697
0.074 0.376 0.222
0.459 0.834 0.697
0.523 0.148 0.220
0.845 0.698 0.220
0.862 0.625 0.696
```

space-group type: P1
formation energy (no corrections): -1086 meV/atom
magnetization: 0.00 Bohr magnetons per cell